DFT (PBE-GGA) results for a geometry-optimized Sc2AsW structure.

Computed properties:
Uncorrected energy   -7.653 eV per atom
Theoretical density   7.55 g cm⁻³
Formation energy from the elements   -0.35 eV/f.u.
Symmetry   R-3m (166)

Cell: 8.7735 8.7735 8.7735 Å, 21.10 21.10 21.10°
Last column: nearest neighbours and their distance in Å.
Fractional positions:
As1 0.7500 0.7500 0.7500  6 Sc 2.76
W1 0.2500 0.2500 0.2500  6 Sc 2.91, 6 W 3.21
Sc1 0.0037 0.0037 0.0037  3 As 2.76, 3 W 2.91
Sc2 0.4963 0.4963 0.4963  3 As 2.76, 3 W 2.91